No. 1
Crystalline Mg7I12Br at its relaxed geometry. Source: Alexandria, functional PBE-GGA.

The structure belongs to space group R-3 (No. 148, hexagonal axes); the cell edges are 15.4723, 15.4723 and 10.3524 Å and the angles 90.00°, 90.00° and 120.00°. The inequivalent atoms are Mg at (0.0000, 0.0000, 0.0000), Mg at (0.0567, 0.1851, 0.3246), I at (0.0328, 0.5885, 0.1625), I at (0.0538, 0.1721, 0.8302) and Br at (0.0000, 0.0000, 0.5000).

Its formation energy (no corrections) is -935 meV/atom.

***

No. 2
Crystalline CrRh2Pb at its relaxed geometry. Source: Alexandria, functional PBE-GGA.

The structure belongs to space group C2/m (No. 12); the cell edges are 8.7662, 3.0610 and 5.0631 Å and the angles 90.00°, 102.08° and 90.00°. The inequivalent atoms are Cr at (0.0000, 0.0000, 0.0000), Rh at (0.2413, 0.5000, 0.2199) and Pb at (0.0000, 0.5000, 0.5000).

Its formation energy is 0.719 eV/f.u.

***

No. 3
Crystalline Ce2ErPdS4 at its relaxed geometry. Source: Alexandria, functional PBE-GGA.

The structure belongs to space group I-42m (No. 121); the cell edges are 6.8391, 6.8391 and 6.7901 Å and the angles 90.00°, 90.00° and 90.00°. The inequivalent atoms are Ce at (0.0000, 0.5000, 0.0000), Er at (0.0000, 0.0000, 0.0000), Pd at (0.0000, 0.0000, 0.5000) and S at (0.2049, 0.2049, 0.2787).

Its formation energy (no corrections) is -1536 meV/atom.